## K3VSb2O8 (PBE with a Hubbard U)

Data for an optimized crystal structure of K3VSb2O8.

Structure (POSCAR):
```
K3VSb2O8
1.0
5.910 0.000 0.000
-2.955 5.118 0.000
0.000 0.000 7.667
K V Sb O
3 1 2 8
Direct
0.000 0.000 0.000
0.333 0.667 0.670
0.667 0.333 0.330
0.000 0.000 0.500
0.333 0.667 0.239
0.667 0.333 0.761
0.161 0.322 0.336
0.161 0.839 0.336
0.322 0.161 0.664
0.333 0.667 0.997
0.667 0.333 0.003
0.678 0.839 0.336
0.839 0.161 0.664
0.839 0.678 0.664
```

Calculated values
ρ: 3.87 Mg/m³
DFT total energy: -5.732 eV per atom
Magnetization: 0.14 μB per atom
Calculated volume: 16.6 Å³ per atom
Space-group type: P-3m1